First-principles (PBE) data for crystalline LaNd6Er2Th at its relaxed geometry, as listed in Alexandria.

Calculated values
M_tot   0.000 μB per formula unit
Uncorrected energy   -4.869 eV/atom

Unit cell a=8.8998 b=8.8998 c=9.8365 alpha=94.27 beta=94.27 gamma=116.14
Last column: nearest neighbours and their distance in Å.
Positions (direct):
La1 0.0966 0.9034 0.7500  6 Nd 3.49-3.63, 2 Er 3.61
La2 0.9034 0.0966 0.2500  6 Nd 3.49-3.63, 2 Er 3.61
Nd1 0.0124 0.7985 0.3801  3 Nd 3.32-3.47, 3 Er 3.35-3.51, 2 La 3.49-3.63
Nd2 0.0772 0.5179 0.1827  2 Nd 3.32-3.69, 1 Th 3.43, 1 Er 3.49, 1 La 3.51
Nd3 0.2015 0.9876 0.1199  3 Nd 3.32-3.47, 3 Er 3.35-3.51, 2 La 3.49-3.63
Nd4 0.2612 0.6053 0.5583  6 Nd 3.47-3.84, 2 Er 3.48-3.76, 2 Th 3.63-3.82
Nd5 0.3947 0.7388 0.9417  6 Nd 3.47-3.84, 2 Er 3.48-3.76, 2 Th 3.63-3.82
Nd6 0.4821 0.9228 0.3173  2 Nd 3.32-3.69, 1 Th 3.43, 1 Er 3.49, 1 La 3.51
Nd7 0.5179 0.0772 0.6827  2 Nd 3.32-3.69, 1 Th 3.43, 1 Er 3.49, 1 La 3.51
Nd8 0.6053 0.2612 0.0583  6 Nd 3.47-3.84, 2 Er 3.48-3.76, 2 Th 3.63-3.82
Nd9 0.7388 0.3947 0.4417  6 Nd 3.47-3.84, 2 Er 3.48-3.76, 2 Th 3.63-3.82
Nd10 0.7985 0.0124 0.8801  3 Nd 3.32-3.47, 3 Er 3.35-3.51, 2 La 3.49-3.63
Nd11 0.9228 0.4821 0.8173  2 Nd 3.32-3.69, 1 Th 3.43, 1 Er 3.49, 1 La 3.51
Nd12 0.9876 0.2015 0.6199  3 Nd 3.32-3.47, 3 Er 3.35-3.51, 2 La 3.49-3.63
Er1 0.2138 0.3043 0.9488  5 Nd 3.35-3.51, 2 Th 3.40-3.47, 1 La 3.61
Er2 0.3043 0.2138 0.4488  5 Nd 3.35-3.51, 2 Th 3.40-3.47, 1 La 3.61
Er3 0.6957 0.7862 0.5512  5 Nd 3.35-3.51, 2 Th 3.40-3.47, 1 La 3.61
Er4 0.7862 0.6957 0.0512  5 Nd 3.35-3.51, 2 Th 3.40-3.47, 1 La 3.61
Th1 0.4677 0.5323 0.2500  4 Er 3.40-3.47, 4 Nd 3.43-3.63
Th2 0.5323 0.4677 0.7500  4 Er 3.40-3.47, 4 Nd 3.43-3.63